(A)
This record from the Alexandria database describes crystalline KSrPO2 at its relaxed geometry. The functional is PBE-GGA.

It has space group P4/mmm (No. 123), with a = 4.732 Å, b = 4.732 Å, c = 5.267 Å, α = 90.00°, β = 90.00° and γ = 90.00°. The inequivalent atoms are K at (0.000, 0.000, 0.000), Sr at (0.500, 0.500, 0.500), P at (0.000, 0.000, 0.500) and O at (0.000, 0.500, 0.000).

The volume is 118 Å³/cell.

***

(B)
This record from the Alexandria database describes crystalline KSrPO2 at its relaxed geometry. The functional is PBE-GGA.

It has space group P4/mmm (No. 123), with a = 4.863 Å, b = 4.863 Å, c = 6.020 Å, α = 90.00°, β = 90.00° and γ = 90.00°. The inequivalent atoms are K at (0.000, 0.000, 0.000), Sr at (0.500, 0.500, 0.500), P at (0.500, 0.500, 0.000) and O at (0.000, 0.500, 0.500).

The volume is 142 Å³/cell.

***

How do the energies compare? Relative to the most stable structure, in meV per atom: (A) 488; (B) 0.